A geometry-optimized KYPb2 structure, computed with PBE.

Results
The formation energy from the elements is -193 meV/atom. The polymorph energy (0 for the lowest one) comes out at 0.1714 eV/atom.

POSCAR file:
```
KYPb2
1.0
-3.812 3.712 2.366
-0.708 -2.439 2.686
4.260 2.318 3.225
Pb K Y
2 1 1
Direct
0.500 0.125 0.374 Pb
0.000 0.124 0.876 Pb
0.500 0.624 0.874 K
0.000 0.627 0.375 Y
```